# Zn2PCl

A relaxed structure of Zn2PCl (PBE, the Alexandria database).

The structure in extended XYZ format:
```
4
Lattice="3.076 -0.015 0.000 -0.968 2.920 0.000 0.000 0.000 9.177" Properties=species:S:1:pos:R:3 pbc="T T T"
Zn 0.000 0.000 0.131
Cl 0.000 0.000 3.789
P 1.054 1.452 7.642
Zn 1.054 1.452 2.203
```

Polymorph energy (0 for the lowest one) ... 642.0 meV/atom
Density of states at the Fermi level ... 1.1 states/eV/cell
Density ... 4.0 g cm⁻³
Symmetry ... Cmm2 (35)
E_tot ... -9.35 eV per cell